1.
Density functional theory data (PBE) for a relaxed structure of Co2RuBr.

abc: 4.932 4.932 4.932
angles: 136.10 136.10 63.83
Each line ends with the local moment (μB).
Positions (direct):
Br1 0.750 0.250 0.500  0.12
Co1 0.000 0.000 0.000  1.88
Co2 0.250 0.750 0.500  1.75
Ru1 0.500 0.500 0.000  1.29

Formation energy from raw total energies, meV/atom: 921
Space group: I-4m2 (119)
Energy above the lowest structure with this stoichiometry, eV/atom: 0.3950

2.
Density functional theory data (PBE) for a relaxed structure of LaNi2HI.

abc: 4.556 6.219 4.556
angles: 90.00 90.00 90.00
Each line ends with the local moment (μB).
Positions (direct):
I1 0.000 0.000 0.000  0.01
Ni1 0.000 0.000 0.500  0.03
Ni2 0.500 0.000 0.000  0.00
H1 0.500 0.500 0.500  -0.01
La1 0.000 0.500 0.000  0.21

Space group: P4/mmm (123)

3.
Density functional theory data (PBE) for a relaxed structure of InSiAu4.

abc: 5.552 5.552 5.552
angles: 60.00 60.00 60.00
Positions (direct):
In1 0.750 0.750 0.750
Si1 0.000 0.000 0.000
Au1 0.875 0.375 0.375
Au2 0.375 0.375 0.875
Au3 0.375 0.875 0.375
Au4 0.375 0.375 0.375

Formation energy from raw total energies, meV/atom: 223
Space group: F-43m (216)
Energy above the lowest structure with this stoichiometry, eV/atom: 0.2271

no.,E (eV/atom),magnetic moment (μB per formula unit),density of states at the Fermi level (states/eV per cell)
1,-5.369,5.03,5.84
2,-3.549,0.60,3.82
3,-3.323,0.00,4.67